Entry 1:
# Ba3Zn2As4, optimized geometry, DFT GGA-PBE
# ΔE to the lowest computed polymorph: 103.5 meV/atom
# VASP energy: -3.743 eV per atom
# mass density: 5.65 g/cm³
# V: 247.7 Å³/cell
data_Ba3Zn2As4
_chemical_formula_sum 'Ba3 Zn2 As4'
_symmetry_space_group_name_H-M 'P 1'
_symmetry_Int_Tables_number 1
_symmetry_space_group_name_Hall 'P 1'
_cell_length_a 4.633
_cell_length_b 6.618
_cell_length_c 9.213
_cell_angle_alpha 109.22
_cell_angle_beta 90.00
_cell_angle_gamma 110.49
loop_
_atom_site_label
_atom_site_type_symbol
_atom_site_fract_x
_atom_site_fract_y
_atom_site_fract_z
_atom_site_occupancy
Ba1 Ba 0.000 0.000 0.000 1
As1 As 0.726 0.452 0.059 1
As2 As 0.118 0.236 0.397 1
As3 As 0.274 0.548 0.941 1
Ba2 Ba 0.614 0.227 0.685 1
Ba3 Ba 0.386 0.773 0.315 1
Zn1 Zn 0.695 0.389 0.341 1
As4 As 0.882 0.764 0.603 1
Zn2 Zn 0.305 0.611 0.659 1

=====

Entry 2:
# AcMg6Al2, optimized geometry, DFT GGA-PBE
# VASP energy: -2.488 eV per atom
# mass density: 3.24 g/cm³
# V: 218.7 Å³/cell
data_AcMg6Al2
_chemical_formula_sum 'Ac1 Mg6 Al2'
_symmetry_space_group_name_H-M 'P 1'
_symmetry_Int_Tables_number 1
_symmetry_space_group_name_Hall 'P 1'
_cell_length_a 4.634
_cell_length_b 4.634
_cell_length_c 10.186
_cell_angle_alpha 90.00
_cell_angle_beta 90.00
_cell_angle_gamma 90.00
loop_
_atom_site_label
_atom_site_type_symbol
_atom_site_fract_x
_atom_site_fract_y
_atom_site_fract_z
_atom_site_occupancy
Ac1 Ac 0.000 0.000 0.000 1
Mg1 Mg 0.500 0.000 0.288 1
Mg2 Mg 0.500 0.500 0.500 1
Mg3 Mg 0.000 0.500 0.288 1
Al1 Al 0.500 0.500 0.873 1
Mg4 Mg 0.000 0.000 0.500 1
Mg5 Mg 0.000 0.500 0.712 1
Mg6 Mg 0.500 0.000 0.712 1
Al2 Al 0.500 0.500 0.127 1

=====

Entry 3:
# NdCdIrPd, optimized geometry, DFT GGA-PBE
# VASP energy: -5.347 eV per atom
# mass density: 11.44 g/cm³
# V: 80.6 Å³/cell
data_NdCdIrPd
_chemical_formula_sum 'Nd1 Cd1 Ir1 Pd1'
_symmetry_space_group_name_H-M 'P 1'
_symmetry_Int_Tables_number 1
_symmetry_space_group_name_Hall 'P 1'
_cell_length_a 4.848
_cell_length_b 4.848
_cell_length_c 4.848
_cell_angle_alpha 60.00
_cell_angle_beta 60.00
_cell_angle_gamma 60.00
loop_
_atom_site_label
_atom_site_type_symbol
_atom_site_fract_x
_atom_site_fract_y
_atom_site_fract_z
_atom_site_occupancy
Cd1 Cd 0.750 0.750 0.750 1
Ir1 Ir 0.000 0.000 0.000 1
Pd1 Pd 0.500 0.500 0.500 1
Nd1 Nd 0.250 0.250 0.250 1